(1)
Material: PuSc4S6
Method: DFT, GGA-PBE
State: relaxed

Magnetization in μB per formula unit: 5.49
Formation energy without anion corrections in eV/atom: -1.875

Unit cell a=6.384 b=6.384 c=18.903 alpha=90.00 beta=90.00 gamma=146.14
Fractional coordinates of all 22 atoms:
Pu1 0.158 0.842 0.750
Pu2 0.842 0.158 0.250
Sc1 0.093 0.907 0.127
Sc2 0.093 0.907 0.373
Sc3 0.361 0.639 0.041
Sc4 0.361 0.639 0.459
Sc5 0.639 0.361 0.541
Sc6 0.639 0.361 0.959
Sc7 0.907 0.093 0.627
Sc8 0.907 0.093 0.873
S1 0.000 0.000 0.000
S2 0.000 0.000 0.500
S3 0.175 0.825 0.250
S4 0.270 0.730 0.587
S5 0.270 0.730 0.913
S6 0.457 0.543 0.162
S7 0.457 0.543 0.338
S8 0.543 0.457 0.662
S9 0.543 0.457 0.838
S10 0.730 0.270 0.087
S11 0.730 0.270 0.413
S12 0.825 0.175 0.750

---

(2)
Material: Sc4SiOs2
Method: DFT, GGA-PBE
State: relaxed

Magnetization in μB per formula unit: 0.00
Formation energy without anion corrections in eV/atom: 0.291

Unit cell a=7.274 b=7.274 c=7.274 alpha=139.84 beta=139.84 gamma=58.09
Fractional coordinates of all 7 atoms:
Sc1 0.000 0.500 0.500
Sc2 0.203 0.203 0.000
Sc3 0.500 0.000 0.500
Sc4 0.797 0.797 0.000
Si1 0.000 0.000 0.000
Os1 0.401 0.401 0.000
Os2 0.599 0.599 0.000

---

(3)
Material: ZrSc2ZnN
Method: DFT, GGA-PBE
State: relaxed

Magnetization in μB per formula unit: 0.00
Formation energy without anion corrections in eV/atom: -0.934

Unit cell a=4.387 b=4.387 c=4.483 alpha=90.00 beta=90.00 gamma=90.00
Fractional coordinates of all 5 atoms:
Zr1 0.000 0.000 0.000
Sc1 0.000 0.500 0.500
Sc2 0.500 0.000 0.500
Zn1 0.500 0.500 0.000
N1 0.000 0.000 0.500